Material: KMgCu
Method: DFT, PBE-GGA
State: relaxed

Total DFT energy (no corrections) ... -1.838 eV per atom
SG ... F-43m, No. 216
Calculated formation energy ... 424 meV per atom
Total magnetization ... 0.0 μB per formula unit
Distance to the lowest polymorph of the same formula ... 4.66 kcal/mol of atoms

Lattice parameters (Å, degrees): 5.0839 5.0839 5.0839 60.00 60.00 60.00
With the nearest neighbours (Å) after each atom.
Sites, in units of the cell vectors:
K1 0.0000 0.0000 0.0000  4 Cu 3.11
Mg1 0.5000 0.5000 0.5000  4 Cu 3.11
Cu1 0.2500 0.2500 0.2500  4 K 3.11, 4 Mg 3.11